Computed, not measured: a relaxed structure of CsPaPdO4 at the GGA-PBE level of DFT.

Structure (POSCAR):
```
CsPaPdO4
1.0
-3.098 3.489 6.136
3.098 -3.489 6.136
3.098 3.489 -6.136
Cs Pa Pd O
2 2 2 8
Direct
0.430 0.180 0.250
0.570 0.820 0.750
0.000 0.500 0.500
0.500 0.500 0.000
0.000 0.000 0.500
0.000 0.500 0.000
0.113 0.684 0.429
0.245 0.316 0.929
0.267 0.314 0.546
0.267 0.721 0.954
0.733 0.279 0.046
0.733 0.686 0.454
0.755 0.684 0.071
0.887 0.316 0.571
```

Space-group type: Imma (74)
Formation energy from raw total energies (eV per atom): -2.102